Record 1
Entry from the Alexandria database: a relaxed TbNd10Sm4 crystal (PBE).

ΔE_f = 0.70 eV/atom
Crystal system = tetragonal
Total magnetization = 0.000 μB/atom
E = -4.045 eV per atom
Symmetry = I4/m

Structure (extended XYZ):
```
15
Lattice="7.157 0.000 3.232 3.579 8.806 1.616 -0.045 0.000 9.642" Properties=species:S:1:pos:R:3 pbc="T T T"
Tb 0.000 0.000 0.000
Nd 3.556 4.403 6.437
Nd 5.694 2.633 11.262
Nd 0.698 0.886 3.204
Nd 6.399 7.921 9.663
Nd 8.589 6.173 4.850
Nd 4.996 6.173 3.228
Nd 7.135 4.403 8.053
Nd 2.101 2.633 9.639
Nd 4.292 0.886 4.827
Nd 9.992 7.921 11.285
Sm 5.709 7.056 6.438
Sm 7.832 5.288 11.278
Sm 2.858 3.518 3.211
Sm 4.981 1.751 8.052
```

Record 2
Entry from the Alexandria database: a relaxed TbSm2Y6Tm crystal (PBE).

ΔE_f = 0.11 eV/atom
Crystal system = monoclinic
Total magnetization = 0.000 μB/atom
E = -5.619 eV per atom
Symmetry = C2/c

Structure (extended XYZ):
```
20
Lattice="9.224 -2.104 -2.184 0.711 8.521 -1.988 0.711 -2.302 8.441" Properties=species:S:1:pos:R:3 pbc="T T T"
Tb 3.017 7.779 -2.326
Tb 7.629 -3.664 6.595
Sm 5.270 4.277 3.344
Sm 0.764 1.983 0.964
Sm 5.376 -0.163 0.926
Sm 9.882 2.131 3.306
Y 1.143 -0.788 5.946
Y 4.892 -0.805 5.929
Y 9.503 4.903 -1.677
Y 5.754 4.919 -1.659
Y 3.900 6.731 0.964
Y 2.134 4.452 -1.400
Y 6.746 -2.617 3.305
Y 8.512 -0.338 5.670
Y 1.946 4.627 2.529
Y 4.088 2.810 0.644
Y 8.700 -0.513 1.741
Y 6.558 1.304 3.625
Tm 3.017 1.581 3.647
Tm 7.629 2.534 0.623
```

Record 3
Entry from the Alexandria database: a relaxed ScReHg2 crystal (PBE).

ΔE_f = 0.29 eV/atom
Crystal system = orthorhombic
Total magnetization = 0.046 μB/atom
E = -4.554 eV per atom
Symmetry = Pmmm

Structure (extended XYZ):
```
4
Lattice="4.389 0.000 0.000 0.000 2.935 0.043 0.000 2.843 5.887" Properties=species:S:1:pos:R:3 pbc="T T T"
Hg 0.000 2.933 0.078
Hg 0.000 2.891 2.930
Re 2.194 1.444 1.483
Sc 2.194 4.333 4.448
```

Record 4
Entry from the Alexandria database: a relaxed Ca4HO2 crystal (PBE).

Crystal system = tetragonal
Total magnetization = 0.122 μB/atom
E = -3.922 eV per atom
Symmetry = I4/mmm

Structure (extended XYZ):
```
7
Lattice="-1.942 2.884 -2.220 -2.022 -2.947 -2.060 -8.561 0.226 3.950" Properties=species:S:1:pos:R:3 pbc="T T T"
H 0.000 0.000 0.000
Ca -6.483 0.035 -1.947
Ca -6.042 0.127 1.618
Ca -1.011 -1.473 -1.030
Ca -0.971 1.442 -1.110
O -8.043 0.096 -0.503
O -4.482 0.066 0.174
```

Record 5
Entry from the Alexandria database: a relaxed UPbO5 crystal (PBE).

Crystal system = orthorhombic
Total magnetization = 0.000 μB/atom
E = -7.671 eV per atom
Symmetry = Immm
Formation energy from raw total energies = -1.99 eV/atom

Structure (extended XYZ):
```
7
Lattice="3.825 0.000 1.401 1.598 5.287 1.559 0.066 0.048 5.739" Properties=species:S:1:pos:R:3 pbc="T T T"
U 0.000 0.000 0.000
Pb 2.745 2.668 4.349
O 3.284 1.336 2.878
O 0.528 1.625 4.480
O 1.912 0.000 0.701
O 1.137 3.710 2.817
O 2.205 3.999 5.821
```

Record 6
Entry from the Alexandria database: a relaxed Y3Zn9Pt2 crystal (PBE).

ΔE_f = -0.53 eV/atom
Crystal system = orthorhombic
Total magnetization = 0.000 μB/atom
E = -3.594 eV per atom
Symmetry = Immm

Structure (extended XYZ):
```
14
Lattice="-1.234 3.376 -2.319 -6.190 -2.733 -4.630 -7.416 1.979 2.883" Properties=species:S:1:pos:R:3 pbc="T T T"
Y 0.000 0.000 0.000
Y -5.065 2.097 -2.142
Y -9.776 0.525 -1.924
Zn -6.803 -0.377 -0.874
Zn -11.924 0.984 -4.058
Zn -2.917 1.638 -0.009
Zn -12.268 2.305 -1.952
Zn -2.573 0.318 -2.114
Zn -9.366 1.425 -4.778
Zn -5.476 1.197 0.712
Zn -9.907 3.506 -1.460
Zn -4.934 -0.884 -2.606
Pt -7.674 2.283 -0.483
Pt -7.168 0.339 -3.583
```